A geometry-optimized DySc2Zn6 structure, computed with PBE-GGA.

Summary:
N(E_F) ... 5.5 states/eV/f.u.
Calculated formation energy ... -0.35 eV/atom
Total energy ... -0.1147 hartree per atom

abc: 7.6342 7.6342 3.2888
angles: 90.00 90.00 120.00
Space group P6/mmm (No. 191)
Unique sites:
Dy 0.0000 0.0000 0.0000 (multiplicity 1)
Sc 0.3333 0.6667 0.0000 (multiplicity 2)
Zn 0.0000 0.3378 0.5000 (multiplicity 6)